(1)
Entry from Alexandria: an optimized crystal structure of K2LiSmF6 (GGA-PBE).

The structure in POSCAR format:
```
K2LiSmF6
1.0
6.100 0.000 0.000
0.000 6.123 0.000
-6.051 0.000 8.624
K Li Sm F
4 2 2 12
Cartesian
-0.022 0.161 2.146
-3.048 2.900 6.458
3.096 3.223 2.166
0.071 5.962 6.478
-3.025 0.000 4.312
0.000 3.062 0.000
3.050 0.000 0.000
0.024 3.062 4.312
-4.766 1.367 8.357
-1.741 1.695 4.045
-4.365 4.358 8.352
-1.340 4.827 4.041
-2.648 0.087 6.407
0.377 2.974 2.095
-0.329 3.149 6.529
2.697 6.036 2.217
1.388 1.296 4.583
4.414 1.765 0.271
1.789 4.428 4.579
4.815 4.756 0.267
```

Properties
The raw formation energy comes out at -3.308 eV per atom. The total energy is -5.3135 eV per atom. For the spin magnetization, the calculation gives 0.000 μB/atom.

***

(2)
Entry from Alexandria: an optimized crystal structure of AcPmCu2Ge2 (GGA-PBE).

The structure in POSCAR format:
```
AcPmCu2Ge2
1.0
4.357 0.000 0.000
-2.179 3.773 0.000
0.000 0.000 8.127
Ac Pm Cu Ge
1 1 2 2
Cartesian
0.000 0.000 0.000
0.000 0.000 4.064
0.000 2.516 5.886
2.179 1.258 2.241
0.000 2.516 2.183
2.179 1.258 5.945
```

Properties
The value obtained for the formation energy is -637 meV/atom. The total energy is -5.0177 eV per atom. For the spin magnetization, the calculation gives 0.000 μB/atom.

***

(3)
Entry from Alexandria: an optimized crystal structure of NpV2W (GGA-PBE).

The structure in POSCAR format:
```
NpV2W
1.0
1.420 0.820 9.103
-1.420 0.820 9.103
0.000 -1.639 9.103
Np V W
1 2 1
Cartesian
0.000 0.000 0.000
0.000 0.000 2.464
0.000 0.000 24.845
0.000 0.000 13.655
```

Properties
The value obtained for the formation energy is 545 meV/atom. As for the relative energy among the computed polymorphs: 1.10 eV/f.u. The total energy is -10.4875 eV per atom. For the spin magnetization, the calculation gives 0.064 μB/atom.

***

(4)
Entry from Alexandria: an optimized crystal structure of AcLaZnI (GGA-PBE).

The structure in POSCAR format:
```
AcLaZnI
1.0
0.000 3.985 3.985
3.985 0.000 3.985
3.985 3.985 0.000
Ac La Zn I
1 1 1 1
Cartesian
0.000 0.000 0.000
3.985 3.985 3.985
1.993 1.993 1.993
5.978 5.978 5.978
```

Properties
The raw formation energy comes out at -0.437 eV per atom. The total energy is -3.4023 eV per atom. For the spin magnetization, the calculation gives 0.000 μB/atom.

***

(5)
Entry from Alexandria: an optimized crystal structure of ZnRuI2N (GGA-PBE).

The structure in POSCAR format:
```
ZnRuI2N
1.0
5.583 0.000 0.000
0.000 5.583 0.000
0.000 0.000 3.728
Zn Ru I N
1 1 2 1
Cartesian
0.000 0.000 0.000
2.792 2.792 1.864
0.000 2.792 1.864
2.792 0.000 1.864
2.792 2.792 0.000
```

Properties
The raw formation energy comes out at 0.389 eV per atom. As for the relative energy among the computed polymorphs: 0.00 eV/f.u. The total energy is -4.0056 eV per atom. For the spin magnetization, the calculation gives 0.000 μB/atom.

***

(6)
Entry from Alexandria: an optimized crystal structure of CsCe2TlCl8 (GGA-PBE).

The structure in POSCAR format:
```
CsCe2TlCl8
1.0
7.732 0.000 0.000
-3.866 6.696 0.000
0.000 0.000 8.603
Cs Ce Tl Cl
1 2 1 8
Cartesian
0.000 0.000 0.000
0.000 4.464 3.608
3.866 2.232 4.996
0.000 0.000 4.302
-1.070 2.600 5.575
0.000 4.464 0.977
-1.079 6.322 5.575
1.717 2.227 3.029
2.149 4.469 5.575
4.944 0.373 3.029
3.866 2.232 7.626
4.936 4.095 3.029
```

Properties
The raw formation energy comes out at -1.930 eV per atom. The total energy is -4.4184 eV per atom. For the spin magnetization, the calculation gives 0.167 μB/atom.

***

Q: Number 3 is which compound?
A: NpV2W